An optimized crystal structure of HoCuH8Rh4. Source: the Alexandria database, functional GGA-PBE.

a = 5.7222 Å, b = 5.7222 Å, c = 13.1841 Å
α = 90.00°, β = 90.00°, γ = 120.00°
Space group R3m (No. 160, hexagonal axes)
Inequivalent atoms, fractional coordinates:
Ho1 0.0000 0.0000 0.0000 x3
Cu1 0.0000 0.0000 0.6022 x3
H1 0.0000 0.0000 0.3750 x3
H2 0.0000 0.0000 0.8349 x3
H3 0.0294 0.5147 0.8351 x9
H4 0.0888 0.5444 0.3713 x9
Rh1 0.0000 0.0000 0.2408 x3
Rh2 0.0011 0.5006 0.1095 x9

Summary:
Volume (Å³/atom): 8.90
N(E_F) (states/eV/atom): 0.28
Energy (eV/atom): -4.828


An optimized crystal structure of VBi3As. Source: the Alexandria database, functional GGA-PBE.

a = 5.5127 Å, b = 5.5127 Å, c = 5.5127 Å
α = 90.00°, β = 90.00°, γ = 90.00°
Space group Pm-3m (No. 221)
Inequivalent atoms, fractional coordinates:
V1 0.0000 0.0000 0.0000 x1
Bi1 0.0000 0.5000 0.5000 x3
As1 0.5000 0.5000 0.5000 x1

Summary:
Energy above the most stable polymorph in this dataset (kcal/mol of atoms): 10.45
Volume (Å³/atom): 33.51
ΔH_f (0 K) (meV/atom): 989.1
N(E_F) (states/eV/atom): 1.76


An optimized crystal structure of Rb2PtAuF6. Source: the Alexandria database, functional GGA-PBE.

a = 6.6437 Å, b = 6.6437 Å, c = 8.8213 Å
α = 90.00°, β = 90.00°, γ = 90.00°
Space group I4/mmm (No. 139)
Inequivalent atoms, fractional coordinates:
Rb1 0.0000 0.5000 0.2500 x4
Pt1 0.0000 0.0000 0.0000 x2
Au1 0.0000 0.0000 0.5000 x2
F1 0.0000 0.0000 0.2647 x4
F2 0.2141 0.2141 0.0000 x8

Summary:
Volume (Å³/atom): 19.47
Formation energy without anion corrections (eV/atom): -1.7178
N(E_F) (states/eV/atom): 0.06